Computed, not measured: a relaxed SbTe2Pd3 crystal at the PBE level of DFT.

Values from the calculation:
electronic total energy = -27.6 eV per formula unit
formation energy (no corrections) = -0.27 eV per atom
calculated density = 8833 kg/m3
SG = C2/c (15)

a = 6.8293 Å, b = 6.8716 Å, c = 6.8716 Å
α = 120.51°, β = 99.57°, γ = 99.57°
Element x y z (fractional)
Pd (0.0092, 0.8269, 0.6655)
Te (0.2500, 0.2620, 0.7380)
Te (0.7500, 0.7380, 0.2620)
Sb (0.7500, 0.4225, 0.5775)
Pd (0.4908, 0.3345, 0.1731)
Pd (0.9908, 0.1731, 0.3345)
Te (0.7500, 0.0844, 0.9156)
Te (0.2500, 0.9156, 0.0844)
Pd (0.5000, 0.0000, 0.5000)
Pd (0.5092, 0.6655, 0.8269)
Pd (0.0000, 0.5000, 0.0000)
Sb (0.2500, 0.5775, 0.4225)